1.
# Ac6HgPt3Rh2

A relaxed Ac6HgPt3Rh2 crystal (GGA-PBE, the Alexandria database).

Properties
Energy of formation from the pure elements in eV per atom: -0.848
Raw total energy in eV per atom: -5.663
DOS(E_F) in states/eV/f.u.: 8.0
SG: No. 12

```
12
Lattice="4.401 0.000 0.000 0.000 8.875 0.477 -2.201 -2.389 9.219" Properties=species:S:1:pos:R:3 pbc="T T T"
Ac 0.000 6.426 6.362
Ac 2.201 4.392 3.388
Ac 2.201 0.061 3.335
Ac 0.000 2.408 0.273
Ac 2.201 4.078 9.424
Ac 0.000 2.094 6.308
Hg 2.201 0.000 0.000
Pt 2.201 4.438 0.239
Pt 2.201 -0.218 6.354
Pt 0.000 6.704 3.342
Rh 2.201 4.301 6.449
Rh 0.000 2.185 3.247
```

2.
# Ac4HgPtRh2

A relaxed Ac4HgPtRh2 crystal (GGA-PBE, the Alexandria database).

Properties
Energy of formation from the pure elements in eV per atom: -0.588
Raw total energy in eV per atom: -5.273
DOS(E_F) in states/eV/f.u.: 6.4
SG: No. 63

```
16
Lattice="4.377 0.000 0.000 -2.189 6.734 0.000 0.000 0.000 17.649" Properties=species:S:1:pos:R:3 pbc="T T T"
Ac 0.000 3.695 1.610
Ac 2.189 3.039 10.434
Ac 2.189 3.039 16.039
Ac 0.000 3.695 7.215
Ac 0.000 0.000 8.825
Ac 0.000 0.000 0.000
Ac 0.000 5.663 13.237
Ac 2.189 1.071 4.412
Hg 0.000 1.696 13.237
Hg 2.189 5.038 4.412
Pt 2.189 3.603 13.237
Pt 0.000 3.131 4.412
Rh 0.000 5.040 9.921
Rh 2.189 1.694 1.096
Rh 2.189 1.694 7.728
Rh 0.000 5.040 16.553
```

3.
# Ac8Hg4PtRh3

A relaxed Ac8Hg4PtRh3 crystal (GGA-PBE, the Alexandria database).

Properties
Energy of formation from the pure elements in eV per atom: -0.668
Raw total energy in eV per atom: -4.554
DOS(E_F) in states/eV/f.u.: 11.1
SG: No. 12

```
16
Lattice="-6.232 5.023 3.296 -2.137 -6.860 6.412 8.205 2.821 -0.152" Properties=species:S:1:pos:R:3 pbc="T T T"
Ac 4.950 -0.912 5.153
Ac 0.910 -2.300 5.227
Ac 2.069 0.799 2.695
Ac 1.882 1.560 6.775
Ac -2.046 -0.576 2.781
Ac -2.233 0.186 6.861
Ac -1.074 3.285 4.329
Ac -5.113 1.897 4.403
Hg -3.116 2.511 1.648
Hg 0.987 3.922 1.572
Hg 0.000 0.000 0.000
Hg 4.103 1.411 -0.076
Pt -1.069 -3.430 3.206
Rh -4.185 -0.918 4.854
Rh -0.082 0.492 4.778
Rh 3.034 -2.019 3.130
```

4.
# Ac6Hg3Pt2Rh

A relaxed Ac6Hg3Pt2Rh crystal (GGA-PBE, the Alexandria database).

Properties
Energy of formation from the pure elements in eV per atom: -0.758
Raw total energy in eV per atom: -4.507
DOS(E_F) in states/eV/f.u.: 6.1
SG: No. 12

```
12
Lattice="7.553 0.001 0.000 -3.774 6.543 0.000 -1.260 -2.182 8.215" Properties=species:S:1:pos:R:3 pbc="T T T"
Ac 3.754 2.219 6.521
Ac 2.543 4.403 1.719
Ac -1.235 2.142 1.695
Ac 0.046 4.361 6.521
Ac -0.024 -0.041 6.496
Ac 2.473 0.001 1.695
Hg -2.466 4.333 4.108
Hg 4.985 0.029 4.108
Hg 1.259 2.181 4.108
Pt 0.009 4.358 0.000
Pt 3.771 2.186 0.000
Rh 0.000 0.000 0.000
```

5.
# Ac8Hg3PtRh3

A relaxed Ac8Hg3PtRh3 crystal (GGA-PBE, the Alexandria database).

Properties
Energy of formation from the pure elements in eV per atom: -0.641
Raw total energy in eV per atom: -4.766
DOS(E_F) in states/eV/f.u.: 11.0
SG: No. 12

```
15
Lattice="-3.322 2.999 7.451 -0.387 -8.498 -1.822 8.493 3.569 2.353" Properties=species:S:1:pos:R:3 pbc="T T T"
Ac 1.434 -2.659 1.711
Ac 3.350 0.728 6.271
Ac -0.241 -1.137 5.421
Ac 5.025 -0.794 2.562
Ac -0.051 3.074 6.322
Ac 4.834 -5.005 1.661
Ac 1.595 1.588 2.631
Ac 3.189 -3.519 5.352
Hg 0.000 0.000 0.000
Hg -0.194 -4.249 -0.911
Hg -1.854 -2.750 2.815
Pt 4.246 1.784 1.176
Rh 2.585 3.284 4.902
Rh 2.392 -0.965 3.991
Rh 4.053 -2.465 0.266
```

6.
# Ac6HgRuPt2

A relaxed Ac6HgRuPt2 crystal (GGA-PBE, the Alexandria database).

Properties
Energy of formation from the pure elements in eV per atom: -0.587
Raw total energy in eV per atom: -5.218
DOS(E_F) in states/eV/f.u.: 8.9
SG: No. 146

```
10
Lattice="-5.809 1.582 -4.886 0.230 -2.649 -7.282 -5.202 -6.287 -1.998" Properties=species:S:1:pos:R:3 pbc="T T T"
Ac -4.534 -1.234 -5.195
Ac -2.504 -3.510 -8.474
Ac -6.460 -1.541 -9.226
Ac -5.984 -6.113 -8.676
Ac -8.157 -3.973 -6.048
Ac -4.636 -5.568 -4.922
Hg -7.377 -4.259 -11.058
Ru -1.948 -0.509 -4.002
Pt -5.291 -3.503 -7.146
Pt -5.580 -1.072 -12.167
```

7.
# Ac6Hg2RuPt

A relaxed Ac6Hg2RuPt crystal (GGA-PBE, the Alexandria database).

Properties
Energy of formation from the pure elements in eV per atom: -0.487
Raw total energy in eV per atom: -4.544
DOS(E_F) in states/eV/f.u.: 8.7
SG: No. 14

```
20
Lattice="7.681 0.000 0.038 0.000 8.338 0.000 0.122 0.000 11.347" Properties=species:S:1:pos:R:3 pbc="T T T"
Ac 2.401 5.697 0.690
Ac 6.302 6.810 6.382
Ac 5.402 2.641 10.695
Ac 1.501 1.528 5.003
Ac 2.556 5.779 5.004
Ac 6.457 6.729 10.697
Ac 5.247 2.560 6.381
Ac 1.346 1.609 0.688
Ac 6.738 4.386 2.820
Ac 2.958 8.121 8.475
Ac 1.064 3.952 8.564
Ac 4.844 0.217 2.910
Hg 0.360 7.490 2.877
Hg 4.262 5.018 8.570
Hg 7.442 0.849 8.508
Hg 3.541 3.320 2.815
Ru 3.901 0.000 5.692
Ru 0.000 4.169 0.000
Pt 3.841 0.000 0.019
Pt 0.061 4.169 5.673
```

8.
# AcHg2SbPt2

A relaxed AcHg2SbPt2 crystal (GGA-PBE, the Alexandria database).

Properties
Formation energy (no corrections) in meV/atom: -321
Raw total energy in eV per atom: -3.807
DOS(E_F) in states/eV/f.u.: 3.5
SG: No. 139

```
6
Lattice="5.393 0.000 0.000 0.000 5.393 0.000 -2.697 -2.697 5.649" Properties=species:S:1:pos:R:3 pbc="T T T"
Ac 2.697 2.697 0.000
Hg 0.000 2.697 2.825
Hg 2.697 0.000 2.825
Sb 0.000 0.000 0.000
Pt 2.697 2.697 2.980
Pt 0.000 0.000 2.669
```

9.
# Ac2HgSb4Pt3

A relaxed Ac2HgSb4Pt3 crystal (GGA-PBE, the Alexandria database).

Properties
Formation energy (no corrections) in meV/atom: -749
Raw total energy in eV per atom: -5.062
DOS(E_F) in states/eV/f.u.: 2.4
SG: No. 115

```
10
Lattice="-2.722 -3.186 2.591 2.821 0.809 3.957 -6.296 7.743 2.906" Properties=species:S:1:pos:R:3 pbc="T T T"
Ac -2.963 0.377 2.035
Ac -3.284 6.177 4.145
Hg -3.098 2.683 4.727
Sb 0.050 -1.189 3.274
Sb 0.000 0.000 0.000
Sb -5.352 3.315 3.138
Sb -0.895 3.239 3.043
Pt -3.148 3.871 1.453
Pt -6.951 5.282 3.876
Pt 0.705 1.272 2.304
```

10.
# AcHgSbPt

A relaxed AcHgSbPt crystal (GGA-PBE, the Alexandria database).

Properties
Formation energy (no corrections) in meV/atom: -583
Raw total energy in eV per atom: -4.227
DOS(E_F) in states/eV/f.u.: 0.8
SG: No. 216

```
4
Lattice="-2.562 -3.411 -3.087 -0.929 -4.899 1.694 -4.905 -1.480 1.215" Properties=species:S:1:pos:R:3 pbc="T T T"
Sb -6.297 -7.342 -0.134
Ac -2.099 -2.447 -0.045
Hg 0.000 0.000 0.000
Pt -4.198 -4.895 -0.089
```

11.
# Ac2HgSb3Pt4

A relaxed Ac2HgSb3Pt4 crystal (GGA-PBE, the Alexandria database).

Properties
Formation energy (no corrections) in meV/atom: -826
Raw total energy in eV per atom: -5.331
DOS(E_F) in states/eV/f.u.: 6.4
SG: No. 115

```
10
Lattice="-2.648 1.102 -3.738 -2.225 -4.138 0.356 -7.338 4.508 6.528" Properties=species:S:1:pos:R:3 pbc="T T T"
Ac -3.090 1.636 -0.298
Ac -6.685 1.355 5.136
Hg -6.106 0.736 1.573
Sb -3.669 2.254 3.264
Sb -7.745 4.496 3.844
Sb -2.029 -1.506 0.994
Pt -2.437 -1.518 -1.691
Pt 0.000 0.000 0.000
Pt -5.977 3.410 2.270
Pt -3.798 -0.419 2.567
```

12.
# AcScHgPt

A relaxed AcScHgPt crystal (GGA-PBE, the Alexandria database).

Properties
Energy of formation from the pure elements in eV per atom: -0.582
Raw total energy in eV per atom: -4.777
DOS(E_F) in states/eV/f.u.: 3.6
SG: No. 216

```
4
Lattice="5.234 0.000 0.000 2.617 4.533 0.000 2.617 1.511 4.273" Properties=species:S:1:pos:R:3 pbc="T T T"
Sc 5.234 3.022 2.137
Ac 0.000 0.000 0.000
Hg 2.617 1.511 1.068
Pt 7.851 4.533 3.205
```

13.
# Ac4HgPtSe2

A relaxed Ac4HgPtSe2 crystal (GGA-PBE, the Alexandria database).

Properties
Formation energy (no corrections) in meV/atom: -1269
Raw total energy in eV per atom: -4.988
DOS(E_F) in states/eV/f.u.: 8.0
SG: No. 10

```
8
Lattice="-2.916 2.344 2.385 0.155 -5.410 5.506 5.847 5.535 1.709" Properties=species:S:1:pos:R:3 pbc="T T T"
Ac 0.030 1.117 3.066
Ac 3.056 1.352 6.535
Ac 4.508 2.796 2.764
Ac 1.494 -2.671 4.451
Hg 0.000 0.000 0.000
Pt -1.380 -1.533 3.946
Se 1.465 3.939 2.047
Se 3.001 0.063 3.608
```

14.
# Ac2Si4HgPt3

A relaxed Ac2Si4HgPt3 crystal (GGA-PBE, the Alexandria database).

Properties
Formation energy (no corrections) in meV/atom: -863
Raw total energy in eV per atom: -5.697
DOS(E_F) in states/eV/f.u.: 3.7
SG: No. 115

```
10
Lattice="-3.385 -2.601 1.199 1.589 -0.160 4.137 -5.481 8.252 2.426" Properties=species:S:1:pos:R:3 pbc="T T T"
Ac -3.029 0.712 1.191
Ac -3.350 6.159 3.902
Si -0.898 -1.381 2.668
Si 0.000 0.000 0.000
Si -5.224 4.016 2.162
Si -1.155 2.855 2.931
Hg -3.639 2.745 3.881
Pt -2.741 4.126 1.213
Pt -6.560 6.028 2.754
Pt 0.181 0.843 2.340
```

15.
# Ac2Si3HgPt4

A relaxed Ac2Si3HgPt4 crystal (GGA-PBE, the Alexandria database).

Properties
Formation energy (no corrections) in meV/atom: -896
Raw total energy in eV per atom: -5.791
DOS(E_F) in states/eV/f.u.: 4.3
SG: No. 115

```
10
Lattice="-3.410 2.806 -0.265 -2.813 -3.414 0.037 -0.429 0.466 10.450" Properties=species:S:1:pos:R:3 pbc="T T T"
Ac -1.811 1.519 2.462
Ac -1.729 -1.357 7.874
Si -0.214 0.233 5.225
Si -2.084 1.815 9.108
Si -1.456 -1.653 1.228
Hg -3.325 -0.071 5.111
Pt -3.111 -0.304 -0.114
Pt 0.000 0.000 0.000
Pt -1.986 1.708 6.715
Pt -1.554 -1.547 3.620
```

16.
# AcSnHgPt

A relaxed AcSnHgPt crystal (GGA-PBE, the Alexandria database).

Properties
Energy of formation from the pure elements in eV per atom: -0.582
Raw total energy in eV per atom: -4.195
DOS(E_F) in states/eV/f.u.: 2.3
SG: No. 216

```
4
Lattice="-0.244 -5.146 0.995 3.243 -2.149 3.521 -1.872 -1.697 4.599" Properties=species:S:1:pos:R:3 pbc="T T T"
Ac 0.563 -4.496 4.557
Hg 0.282 -2.248 2.279
Pt 0.845 -6.744 6.836
Sn 0.000 0.000 0.000
```

17.
# Ac3Sn6HgPt2

A relaxed Ac3Sn6HgPt2 crystal (GGA-PBE, the Alexandria database).

Properties
Energy of formation from the pure elements in eV per atom: -0.271
Raw total energy in eV per atom: -4.332
DOS(E_F) in states/eV/f.u.: 4.8
SG: No. 164

```
12
Lattice="-5.852 1.057 3.376 5.828 -0.903 3.460 1.466 8.727 -0.191" Properties=species:S:1:pos:R:3 pbc="T T T"
Ac 2.892 5.448 3.308
Ac -1.450 3.432 3.338
Ac 0.000 0.000 0.000
Sn 1.491 2.296 4.845
Sn 1.501 2.230 1.903
Sn 4.009 1.841 3.392
Sn -0.058 6.650 4.742
Sn -0.048 6.584 1.800
Sn -2.567 7.039 3.253
Hg 0.733 4.363 -0.096
Pt -0.513 9.007 3.216
Pt 1.956 -0.127 3.430
```

18.
# Ac2Sn4HgPt3

A relaxed Ac2Sn4HgPt3 crystal (GGA-PBE, the Alexandria database).

Properties
Energy of formation from the pure elements in eV per atom: -0.774
Raw total energy in eV per atom: -5.039
DOS(E_F) in states/eV/f.u.: 4.9
SG: No. 115

```
10
Lattice="-4.432 1.629 -0.488 -1.479 -3.019 3.351 1.942 7.589 7.695" Properties=species:S:1:pos:R:3 pbc="T T T"
Ac -1.725 2.731 1.699
Ac 0.712 4.163 7.427
Sn -2.955 -0.695 1.431
Sn 0.000 0.000 0.000
Sn -0.977 5.658 4.667
Sn -0.037 1.236 4.459
Hg -1.985 3.100 5.279
Pt 0.971 3.795 3.847
Pt -0.509 7.485 6.519
Pt -0.504 -0.591 2.607
```

19.
# SrAcHgPt

A relaxed SrAcHgPt crystal (GGA-PBE, the Alexandria database).

Properties
Energy of formation from the pure elements in eV per atom: -0.673
Raw total energy in eV per atom: -3.706
Energy above the most stable polymorph in this dataset in meV per atom: 94
DOS(E_F) in states/eV/f.u.: 2.7
SG: No. 216

```
4
Lattice="-4.095 -1.685 3.203 -4.481 -2.200 -2.224 -0.997 -5.342 0.578" Properties=species:S:1:pos:R:3 pbc="T T T"
Sr -4.787 -4.613 0.779
Ac 0.000 0.000 0.000
Hg -2.393 -2.307 0.389
Pt -7.180 -6.920 1.168
```

20.
# SrAcHgPt

A relaxed SrAcHgPt crystal (GGA-PBE, the Alexandria database).

Properties
Energy of formation from the pure elements in eV per atom: -0.767
Raw total energy in eV per atom: -3.800
Energy above the most stable polymorph in this dataset in meV per atom: 0
DOS(E_F) in states/eV/f.u.: 2.2
SG: No. 38

```
4
Lattice="-0.098 -1.826 3.951 3.596 -2.364 -1.004 3.759 5.598 0.281" Properties=species:S:1:pos:R:3 pbc="T T T"
Sr 1.138 1.437 0.692
Ac 4.474 1.345 3.131
Hg 2.310 -1.387 1.815
Pt 2.997 3.784 1.823
```